# SCAN Sc2NiH2, single point on PBEsol structure
data_Sc2NiH2
_cell_length_a 3.178
_cell_length_b 3.178
_cell_length_c 11.256
_cell_angle_alpha 90.00
_cell_angle_beta 90.00
_cell_angle_gamma 90.00
_symmetry_space_group_name_H-M 'I 4/m m m'
_symmetry_Int_Tables_number 139
_symmetry_space_group_name_Hall '-I 4 2'
loop_
_atom_site_label
_atom_site_type_symbol
_atom_site_fract_x
_atom_site_fract_y
_atom_site_fract_z
Sc1 Sc 0.000 0.000 0.140
Ni1 Ni 0.000 0.000 0.500
H1 H 0.000 0.500 0.250
# Energy   -10.928 eV per atom
# Crystal system   tetragonal

# SCAN ScNi2H2, single point on PBEsol structure
data_ScNi2H2
_cell_length_a 3.303
_cell_length_b 3.303
_cell_length_c 8.089
_cell_angle_alpha 90.00
_cell_angle_beta 90.00
_cell_angle_gamma 90.00
_symmetry_space_group_name_H-M 'I 4/m m m'
_symmetry_Int_Tables_number 139
_symmetry_space_group_name_Hall '-I 4 2'
loop_
_atom_site_label
_atom_site_type_symbol
_atom_site_fract_x
_atom_site_fract_y
_atom_site_fract_z
Sc1 Sc 0.000 0.000 0.000
Ni1 Ni 0.000 0.000 0.334
H1 H 0.000 0.500 0.250
# Energy   -11.053 eV per atom
# Crystal system   tetragonal

# SCAN ScNiH3, single point on PBEsol structure
data_ScNiH3
_cell_length_a 3.331
_cell_length_b 3.331
_cell_length_c 3.331
_cell_angle_alpha 90.00
_cell_angle_beta 90.00
_cell_angle_gamma 90.00
_symmetry_space_group_name_H-M 'P m -3 m'
_symmetry_Int_Tables_number 221
_symmetry_space_group_name_Hall '-P 4 2 3'
loop_
_atom_site_label
_atom_site_type_symbol
_atom_site_fract_x
_atom_site_fract_y
_atom_site_fract_z
Sc1 Sc 0.000 0.000 0.000
Ni1 Ni 0.500 0.500 0.500
H1 H 0.000 0.500 0.500
# Energy   -8.630 eV per atom
# Crystal system   cubic

# SCAN NiH2Se, single point on PBEsol structure
data_NiH2Se
_cell_length_a 5.168
_cell_length_b 5.168
_cell_length_c 5.168
_cell_angle_alpha 90.00
_cell_angle_beta 90.00
_cell_angle_gamma 90.00
_symmetry_space_group_name_H-M 'F m -3 m'
_symmetry_Int_Tables_number 225
_symmetry_space_group_name_Hall '-F 4 2 3'
loop_
_atom_site_label
_atom_site_type_symbol
_atom_site_fract_x
_atom_site_fract_y
_atom_site_fract_z
Ni1 Ni 0.000 0.000 0.000
H1 H 0.250 0.250 0.250
Se1 Se 0.000 0.000 0.500
# Energy   -9.902 eV per atom
# Crystal system   cubic